Crystalline GaFe2TeI at its relaxed geometry, computed with PBE.

Cell lengths 4.880, 4.880, 5.340 Å; angles 90.00, 90.00, 90.00 degrees
Element x y z (fractional)
Ga: 0.000 0.000 0.000
Fe: 0.000 0.500 0.000
Fe: 0.500 0.000 0.000
Te: 0.000 0.000 0.500
I: 0.500 0.500 0.500

Values from the calculation:
- SG = No. 123
- calculated total energy (eV/atom) = -3.916
- M_tot (μB/f.u.) = 6.62
- calculated density (g/cm³) = 5.69


Crystalline SiSn2Os at its relaxed geometry, computed with PBE.

Cell lengths 7.448, 7.448, 7.448 Å; angles 132.21, 132.21, 69.90 degrees
Element x y z (fractional)
Si: 0.000 0.000 0.000
Si: 0.750 0.250 0.500
Sn: 0.134 0.625 0.009
Sn: 0.375 0.384 0.509
Sn: 0.616 0.125 0.991
Sn: 0.875 0.866 0.491
Os: 0.250 0.750 0.500
Os: 0.500 0.500 0.000

Values from the calculation:
- SG = No. 122
- calculated total energy (eV/atom) = -5.347
- M_tot (μB/f.u.) = 0.00
- calculated density (g/cm³) = 6.81


Crystalline Ba2TbSb3Pd4 at its relaxed geometry, computed with PBE.

Cell lengths 4.715, 4.715, 11.468 Å; angles 90.00, 90.00, 90.00 degrees
Element x y z (fractional)
Ba: 0.000 0.500 0.230
Ba: 0.500 0.000 0.770
Tb: 0.000 0.000 0.500
Sb: 0.000 0.500 0.878
Sb: 0.500 0.000 0.122
Sb: 0.500 0.500 0.500
Pd: 0.000 0.000 0.000
Pd: 0.000 0.500 0.640
Pd: 0.500 0.000 0.360
Pd: 0.500 0.500 0.000

Values from the calculation:
- SG = No. 115
- calculated total energy (eV/atom) = -5.013
- M_tot (μB/f.u.) = 0.00
- calculated density (g/cm³) = 7.98


Crystalline TbSm5Y at its relaxed geometry, computed with PBE.

Cell lengths 6.869, 6.869, 12.400 Å; angles 108.39, 108.39, 59.63 degrees
Element x y z (fractional)
Tb: 0.026 0.974 0.750
Tb: 0.974 0.026 0.250
Sm: 0.150 0.414 0.755
Sm: 0.181 0.660 0.499
Sm: 0.340 0.819 0.001
Sm: 0.414 0.150 0.255
Sm: 0.417 0.583 0.250
Sm: 0.583 0.417 0.750
Sm: 0.586 0.850 0.745
Sm: 0.660 0.181 0.999
Sm: 0.819 0.340 0.501
Sm: 0.850 0.586 0.245
Y: 0.000 0.500 0.000
Y: 0.500 0.000 0.500

Values from the calculation:
- SG = No. 15
- M_tot (μB/f.u.) = 0.00
- ΔH_f (0 K) (eV/atom) = 0.17
- calculated density (g/cm³) = 7.06
- offset from the most stable computed form (meV/atom) = 3